[1]
This record from the Alexandria database describes TmTlPb2 after structural relaxation. The functional is GGA-PBE.

Summary:
DOS(E_F): 0.578 states/eV/atom
crystal system: tetragonal
spin magnetization: 0.00 μB per formula unit
ΔE_f: -0.213 eV per atom

abc: 4.9033 4.7935 4.7935
angles: 90.00 90.00 90.00
With the nearest neighbours (Å) after each atom.
Sites, in units of the cell vectors:
Pb1 0.0000 0.0000 0.5000  4 Pb 3.39, 4 Tl 3.43, 4 Tm 3.43
Pb2 0.0000 0.5000 0.0000  4 Pb 3.39, 4 Tl 3.43, 4 Tm 3.43
Tl1 0.5000 0.0000 0.0000  4 Tm 3.39, 8 Pb 3.43
Tm1 0.5000 0.5000 0.5000  4 Tl 3.39, 8 Pb 3.43

[2]
This record from the Alexandria database describes ZrTa2In after structural relaxation. The functional is GGA-PBE.

Summary:
DOS(E_F): 0.906 states/eV/atom
crystal system: tetragonal
spin magnetization: 0.00 μB per formula unit
ΔE_f: 0.190 eV per atom

abc: 2.9391 2.9391 9.3841
angles: 90.00 90.00 90.00
With the nearest neighbours (Å) after each atom.
Sites, in units of the cell vectors:
Ta1 0.0000 0.0000 0.5063  4 Ta 2.94, 4 In 3.09, 4 Zr 3.18
Ta2 0.0000 0.0000 0.9937  4 Ta 2.94, 4 In 3.09, 4 Zr 3.18
In1 0.5000 0.5000 0.7500  4 In 2.94, 8 Ta 3.09
Zr1 0.5000 0.5000 0.2500  4 Zr 2.94, 8 Ta 3.18

DOS(E_F) of number 1 (TmTlPb2)?
0.578 states/eV/atom

Which formula does entry 2 have?
ZrTa2In

Which value of DOS(E_F) does entry 2 give?
0.906 states/eV/atom

Which value of spin magnetization does entry 1 give?
0.00 μB per formula unit